Entry 1:
CdPdSeN2 | PBE | relaxed

Cell lengths 4.134, 4.134, 5.818 Å; angles 90.00, 90.00, 90.00 degrees
Space group P4/mmm (No. 123)
Unique sites:
Cd1 0.000 0.000 0.000 [1 per cell]
Pd1 0.500 0.500 0.500 [1 per cell]
Se1 0.000 0.000 0.500 [1 per cell]
N1 0.000 0.500 0.000 [2 per cell]

Results
Formation energy without anion corrections in kJ/mol of formula units: 871



Entry 2:
Dy2Er7Mg2 | PBE | relaxed

Cell lengths 5.992, 6.023, 9.164 Å; angles 89.87, 83.97, 80.43 degrees
Space group P-1 (No. 2)
Unique sites:
Dy1 0.220 0.044 0.095 [2 per cell]
Er1 0.046 0.413 0.818 [2 per cell]
Er2 0.138 0.225 0.455 [2 per cell]
Er3 0.322 0.863 0.726 [2 per cell]
Er4 0.500 0.500 0.000 [1 per cell]
Mg1 0.406 0.678 0.368 [2 per cell]

Results
Energy of formation in meV/atom: 33



| no. | ΔE to the lowest computed polymorph (meV per atom) |
| --- | --- |
| 1 | 642 |
| 2 | 0 |